# PBE+U CrSb2IF, relaxed
# D(E_F) = 4.40 states/eV/f.u.
# SG = P4/mmm, No. 123
# Total energy = -3.624 eV per atom
# Spin magnetization = 2.857 μB/f.u.
# Crystal system = tetragonal
data_CrSb2IF
_cell_length_a 5.189
_cell_length_b 5.189
_cell_length_c 5.420
_cell_angle_alpha 90.00
_cell_angle_beta 90.00
_cell_angle_gamma 90.00
_symmetry_space_group_name_H-M 'P 1'
_symmetry_Int_Tables_number 1
loop_
_symmetry_equiv_pos_as_xyz
'x,y,z'
loop_
_atom_site_label
_atom_site_type_symbol
_atom_site_fract_x
_atom_site_fract_y
_atom_site_fract_z
I1 I 0.000 0.000 0.500
Sb1 Sb 0.000 0.500 0.000
Sb2 Sb 0.500 0.000 0.000
F1 F 0.500 0.500 0.500
Cr1 Cr 0.000 0.000 0.000